# TaRhBr3 | the Alexandria database | PBE | optimized geometry
# - Energy above the lowest structure with this stoichiometry: 0.000 eV per atom
# - Formation energy (no corrections): 0.701 eV per atom
# - DOS at the Fermi energy: 14.6 states/eV/f.u.
# - Calculated total energy: -0.152 hartree per atom
data_TaRhBr3
_cell_length_a 5.108
_cell_length_b 5.108
_cell_length_c 5.108
_cell_angle_alpha 90.00
_cell_angle_beta 90.00
_cell_angle_gamma 90.00
_symmetry_space_group_name_H-M 'P m -3 m'
_symmetry_Int_Tables_number 221
_symmetry_space_group_name_Hall '-P 4 2 3'
loop_
_atom_site_label
_atom_site_type_symbol
_atom_site_fract_x
_atom_site_fract_y
_atom_site_fract_z
Ta1 Ta 0.000 0.000 0.000
Rh1 Rh 0.500 0.500 0.500
Br1 Br 0.000 0.000 0.500